KCuCl3 | meta-GGA SCAN | single point on PBEsol structure

a b c (Å): 4.745 4.745 4.745
angles (deg): 90.00 90.00 90.00
Fractional coordinates of all 5 atoms:
K: 0.000 0.000 0.000
Cu: 0.500 0.500 0.500
Cl: 0.000 0.500 0.500
Cl: 0.500 0.000 0.500
Cl: 0.500 0.500 0.000

Output
formation energy from raw total energies: -1.269 eV/atom
total moment: 0.01 μB per cell
symmetry: Pm-3m